[1]
A relaxed structure of Tm3Ga7Ni4, computed with PBE.

Cell: 7.8894 7.8894 9.1253 Å, 123.94 123.94 29.88°
Sites, in units of the cell vectors:
Tm 0.0000 0.0000 0.0000
Tm 0.3079 0.3079 0.3008
Tm 0.6921 0.6921 0.6992
Ga 0.0000 0.0000 0.5000
Ga 0.1580 0.1580 0.4221
Ga 0.3209 0.3209 0.9699
Ga 0.4967 0.4967 0.7190
Ga 0.5033 0.5033 0.2810
Ga 0.6791 0.6791 0.0301
Ga 0.8420 0.8420 0.5779
Ni 0.1207 0.1207 0.8414
Ni 0.3375 0.3375 0.7180
Ni 0.6625 0.6625 0.2820
Ni 0.8793 0.8793 0.1586

Output
ΔH_f (0 K) (eV per formula unit): -8.30


[2]
A relaxed structure of Al2BrCl, computed with PBE.

Cell: 5.5963 5.5963 3.5419 Å, 108.05 108.05 104.83°
Sites, in units of the cell vectors:
Al 0.0000 0.5000 0.0000
Al 0.5000 0.0000 0.0000
Br 0.0000 0.0000 0.5000
Cl 0.5000 0.5000 0.5000

Output
Distance to the lowest polymorph of the same formula (eV/f.u.): 1.94
Energy relative to the elements, uncorrected (eV/atom): -0.156


[3]
A relaxed structure of ZnOsPt2, computed with PBE.

Cell: 9.0068 9.0068 9.0068 Å, 17.75 17.75 17.75°
Sites, in units of the cell vectors:
Zn 0.0000 0.0000 0.0000
Os 0.5000 0.5000 0.5000
Pt 0.2512 0.2512 0.2512
Pt 0.7488 0.7488 0.7488

Output
ΔH_f (0 K) (eV per formula unit): -0.47


[4]
A relaxed structure of SrPrCu2Si2, computed with PBE.

Cell: 4.1706 4.1706 8.7088 Å, 90.00 90.00 120.00°
Sites, in units of the cell vectors:
Sr 0.0000 0.0000 0.0000
Pr 0.0000 0.0000 0.5000
Cu 0.3333 0.6667 0.7388
Cu 0.6667 0.3333 0.2612
Si 0.3333 0.6667 0.2649
Si 0.6667 0.3333 0.7351

Output
Energy relative to the elements, uncorrected (eV/atom): -0.482


[5]
A relaxed structure of Sm2Tm3ThBi6, computed with PBE.

Cell: 10.0509 10.0509 9.0012 Å, 102.70 102.70 25.93°
Sites, in units of the cell vectors:
Sm 0.1679 0.1679 0.3355
Sm 0.8321 0.8321 0.6645
Tm 0.1671 0.1671 0.8317
Tm 0.5000 0.5000 0.5000
Tm 0.8329 0.8329 0.1683
Th 0.5000 0.5000 0.0000
Bi 0.0016 0.0016 0.7427
Bi 0.3308 0.3308 0.9217
Bi 0.3357 0.3357 0.4119
Bi 0.6643 0.6643 0.5881
Bi 0.6692 0.6692 0.0783
Bi 0.9984 0.9984 0.2573

Output
ΔH_f (0 K) (eV per formula unit): -9.61


[6]
A relaxed structure of LiCdCo2B, computed with PBE.

Cell: 3.9544 3.9544 4.3440 Å, 90.00 90.00 90.00°
Sites, in units of the cell vectors:
Li 0.0000 0.0000 0.0000
Cd 0.0000 0.0000 0.5000
Co 0.0000 0.5000 0.0000
Co 0.5000 0.0000 0.0000
B 0.5000 0.5000 0.5000

Output
ΔH_f (0 K) (eV per formula unit): 7.91


[7]
A relaxed structure of Ta2Nb3W2, computed with PBE.

Cell: 11.6918 11.6918 3.2837 Å, 90.00 90.00 163.55°
Sites, in units of the cell vectors:
Ta 0.1452 0.8548 0.0000
Ta 0.8548 0.1452 0.0000
Nb 0.0000 0.0000 0.0000
Nb 0.4293 0.5707 0.5000
Nb 0.5707 0.4293 0.5000
W 0.2923 0.7077 0.5000
W 0.7077 0.2923 0.5000

Output
Distance to the lowest polymorph of the same formula (eV/f.u.): 2.14
ΔH_f (0 K) (eV per formula unit): 1.81


[8]
A relaxed structure of Nd2MgPb, computed with PBE.

Cell: 4.0059 4.0059 7.4586 Å, 90.00 90.00 90.00°
Sites, in units of the cell vectors:
Nd 0.0000 0.0000 0.2459
Nd 0.0000 0.0000 0.7541
Mg 0.5000 0.5000 0.0000
Pb 0.5000 0.5000 0.5000

Output
ΔH_f (0 K) (eV per formula unit): -1.26